Record 1
Computed, not measured: crystalline TlOs4Pb at its relaxed geometry at the PBE level of DFT. Values from VASP.

```
&SYSTEM
  ibrav = 0, nat = 6, ntyp = 3
/
ATOMIC_SPECIES
Os 190.23 Os.upf
Pb 207.20 Pb.upf
Tl 204.38 Tl.upf
ATOMIC_POSITIONS crystal
Os 0.3750 0.3750 0.3750
Os 0.3750 0.8749 0.3750
Pb 0.7500 0.7500 0.7500
Tl 0.0000 0.0000 0.0000
Os 0.3750 0.3750 0.8749
Os 0.8749 0.3750 0.3750
CELL_PARAMETERS angstrom
-4.8185 -1.0789 2.1242
-2.5163 3.7035 2.9741
-4.3876 2.4510 -1.9068
```

theoretical density	17.73	g/cm3
E	-7.47	eV per atom

***

Record 2
Computed, not measured: crystalline ThZr2Hg at its relaxed geometry at the PBE level of DFT. Values from VASP.

```
&SYSTEM
  ibrav = 0, nat = 4, ntyp = 3
/
ATOMIC_SPECIES
Zr 91.22 Zr.upf
Th 232.04 Th.upf
Hg 200.59 Hg.upf
ATOMIC_POSITIONS crystal
Zr 0.0000 0.0000 0.2382
Zr 0.0000 0.0000 0.7618
Th 0.5000 0.5000 0.5000
Hg 0.5000 0.5000 0.0000
CELL_PARAMETERS angstrom
3.6719 0.0000 0.0000
0.0000 3.6719 0.0000
0.0000 0.0000 7.1025
```

theoretical density	10.67	g/cm3
E	-6.26	eV per atom
polymorph energy (0 for the lowest one)	8.3	meV per atom

***

Record 3
Computed, not measured: crystalline SrCrAg2Bi at its relaxed geometry at the PBE level of DFT. Values from VASP.

```
&SYSTEM
  ibrav = 0, nat = 5, ntyp = 4
/
ATOMIC_SPECIES
Ag 107.87 Ag.upf
Sr 87.62 Sr.upf
Bi 208.98 Bi.upf
Cr 52.00 Cr.upf
ATOMIC_POSITIONS crystal
Ag 0.0000 0.0000 0.5000
Sr 0.5000 0.5000 0.5000
Ag 0.5000 0.0000 0.0000
Bi 0.0000 0.5000 0.0000
Cr 0.0000 0.0000 0.0000
CELL_PARAMETERS angstrom
-0.0030 0.1803 -5.2191
1.2927 -4.9936 -0.1733
-5.0558 -1.3074 -0.0423
```

theoretical density	6.66	g/cm3
E	-4.01	eV per atom

***

Record 4
Computed, not measured: crystalline Na3AcO8 at its relaxed geometry at the PBE level of DFT. Values from VASP.

```
&SYSTEM
  ibrav = 0, nat = 12, ntyp = 3
/
ATOMIC_SPECIES
Na 22.99 Na.upf
O 16.00 O.upf
Ac 227.00 Ac.upf
ATOMIC_POSITIONS crystal
Na 0.2500 0.5000 0.2500
O 0.5856 0.4965 0.4144
O 0.0890 0.5034 0.9110
O 0.5857 0.0000 0.9125
O 0.9122 0.4977 0.0878
O 0.0875 0.0000 0.4144
O 0.4142 0.0000 0.0888
Ac 0.0000 0.0000 0.0000
O 0.4146 0.5024 0.5854
Na 0.5000 0.0000 0.5000
Na 0.7501 0.5000 0.7501
O 0.9112 0.0000 0.5859
CELL_PARAMETERS angstrom
6.0488 -0.0001 0.8016
-3.1451 4.5073 2.6477
-0.2412 0.0001 6.0969
```

theoretical density	4.21	g/cm3
E	-5.20	eV per atom
uncorrected formation energy	-14.6	eV/f.u.

***

Record 5
Computed, not measured: crystalline FeBiI3 at its relaxed geometry at the PBE level of DFT. Values from VASP.

```
&SYSTEM
  ibrav = 0, nat = 5, ntyp = 3
/
ATOMIC_SPECIES
Fe 55.84 Fe.upf
I 126.90 I.upf
Bi 208.98 Bi.upf
ATOMIC_POSITIONS crystal
Fe 0.5000 0.5000 0.5000
I 0.5000 0.0000 0.0000
Bi 0.0000 0.0000 0.0000
I 0.0000 0.0000 0.5000
I 0.0000 0.5000 0.0000
CELL_PARAMETERS angstrom
-2.7055 -5.4258 -1.3169
1.9544 -2.2911 5.4244
-5.2301 1.9505 2.7083
```

theoretical density	4.49	g/cm3
E	-2.80	eV per atom
polymorph energy (0 for the lowest one)	198.4	meV per atom
uncorrected formation energy	3.0	eV/f.u.

***

Record 6
Computed, not measured: crystalline K3GaW at its relaxed geometry at the PBE level of DFT. Values from VASP.

```
&SYSTEM
  ibrav = 0, nat = 5, ntyp = 3
/
ATOMIC_SPECIES
K 39.10 K.upf
Ga 69.72 Ga.upf
W 183.84 W.upf
ATOMIC_POSITIONS crystal
K 0.0000 0.5000 0.0000
K 0.5000 0.0000 0.0000
K 0.0000 0.0000 0.5000
Ga 0.0000 0.0000 0.0000
W 0.5000 0.5000 0.5000
CELL_PARAMETERS angstrom
6.3582 0.0000 0.0000
0.0000 6.3582 0.0000
0.0000 0.0000 6.3582
```

theoretical density	2.40	g/cm3
E	-2.32	eV per atom
polymorph energy (0 for the lowest one)	0.0	meV per atom

***

Record 7
Computed, not measured: crystalline GaHgS2 at its relaxed geometry at the PBE level of DFT. Values from VASP.

```
&SYSTEM
  ibrav = 0, nat = 4, ntyp = 3
/
ATOMIC_SPECIES
S 32.06 S.upf
Hg 200.59 Hg.upf
Ga 69.72 Ga.upf
ATOMIC_POSITIONS crystal
S 0.1115 0.1115 0.1115
Hg 0.0000 0.0000 0.0000
Ga 0.5000 0.5000 0.5000
S 0.8885 0.8885 0.8885
CELL_PARAMETERS angstrom
2.0734 0.0000 8.0256
-1.0367 1.7956 8.0256
-1.0367 -1.7956 8.0256
```

theoretical density	6.20	g/cm3
E	-3.12	eV per atom
uncorrected formation energy	-0.9	eV/f.u.

***

Record 8
Computed, not measured: crystalline PuTl3Cl8 at its relaxed geometry at the PBE level of DFT. Values from VASP.

```
&SYSTEM
  ibrav = 0, nat = 12, ntyp = 3
/
ATOMIC_SPECIES
Cl 35.45 Cl.upf
Tl 204.38 Tl.upf
Pu 244.00 Pu.upf
ATOMIC_POSITIONS crystal
Cl 0.8906 0.3363 0.2269
Tl 0.5000 0.5000 0.0000
Cl 0.1094 0.1094 0.7731
Cl 0.1094 0.6637 0.7731
Cl 0.8906 0.8906 0.2269
Cl 0.3363 0.3363 0.2269
Tl 0.7500 0.2500 0.5000
Pu 0.0000 0.0000 0.0000
Cl 0.3363 0.8906 0.2269
Cl 0.6637 0.6637 0.7731
Cl 0.6637 0.1094 0.7731
Tl 0.2500 0.7500 0.5000
CELL_PARAMETERS angstrom
7.1566 0.0000 0.0000
0.0000 7.1566 0.0000
-3.5783 -3.5783 7.0378
```

theoretical density	5.26	g/cm3
E	-4.19	eV per atom
uncorrected formation energy	-14.0	eV/f.u.

***

Record 9
Computed, not measured: crystalline TlCo2Sb at its relaxed geometry at the PBE level of DFT. Values from VASP.

```
&SYSTEM
  ibrav = 0, nat = 4, ntyp = 3
/
ATOMIC_SPECIES
Sb 121.76 Sb.upf
Co 58.93 Co.upf
Tl 204.38 Tl.upf
ATOMIC_POSITIONS crystal
Sb 0.0000 0.0000 0.4064
Co 0.0000 0.0000 0.0704
Co 0.5000 0.5000 0.2041
Tl 0.5000 0.5000 0.8191
CELL_PARAMETERS angstrom
-0.1789 1.2504 2.8731
0.3205 -2.8553 1.2629
7.8583 0.9212 0.0884
```

theoretical density	9.46	g/cm3
E	-4.89	eV per atom
polymorph energy (0 for the lowest one)	38.1	meV per atom
uncorrected formation energy	1.2	eV/f.u.

***

Record 10
Computed, not measured: crystalline K3Li at its relaxed geometry at the PBE level of DFT. Values from VASP.

```
&SYSTEM
  ibrav = 0, nat = 4, ntyp = 2
/
ATOMIC_SPECIES
K 39.10 K.upf
Li 6.94 Li.upf
ATOMIC_POSITIONS crystal
K 0.5000 0.5000 0.5000
K 0.2868 0.2868 0.2128
Li 0.0000 0.0000 0.0000
K 0.7132 0.7132 0.7872
CELL_PARAMETERS angstrom
-2.6151 -6.6831 4.4351
-0.0885 -8.3638 1.1008
4.6130 -2.5985 4.8052
```

theoretical density	0.89	g/cm3
E	-1.20	eV per atom

***

Record 11
Computed, not measured: crystalline KNi2TeS at its relaxed geometry at the PBE level of DFT. Values from VASP.

```
&SYSTEM
  ibrav = 0, nat = 10, ntyp = 4
/
ATOMIC_SPECIES
K 39.10 K.upf
Ni 58.69 Ni.upf
S 32.06 S.upf
Te 127.60 Te.upf
ATOMIC_POSITIONS crystal
K 0.2500 0.0546 0.7368
Ni 0.2500 0.5044 0.1894
S 0.2500 0.6938 0.4387
K 0.7500 0.9454 0.2632
Ni 0.7500 0.4956 0.8106
Te 0.7500 0.3168 0.0601
Ni 0.7500 0.5346 0.4114
Ni 0.2500 0.4654 0.5886
S 0.7500 0.3062 0.5613
Te 0.2500 0.6832 0.9399
CELL_PARAMETERS angstrom
3.8909 0.0000 0.0000
0.0000 7.4011 0.0116
0.0000 -1.6398 7.8343
```

theoretical density	4.65	g/cm3
E	-4.45	eV per atom
uncorrected formation energy	-2.3	eV/f.u.

***

Record 12
Computed, not measured: crystalline LaTl2Ag2 at its relaxed geometry at the PBE level of DFT. Values from VASP.

```
&SYSTEM
  ibrav = 0, nat = 10, ntyp = 3
/
ATOMIC_SPECIES
Tl 204.38 Tl.upf
Ag 107.87 Ag.upf
La 138.91 La.upf
ATOMIC_POSITIONS crystal
Tl 0.3185 0.1815 0.5000
Ag 0.8796 0.6204 0.0000
La 0.5000 0.5000 0.0000
La 0.0000 0.0000 0.0000
Tl 0.1815 0.6815 0.5000
Ag 0.1204 0.3796 0.0000
Ag 0.3796 0.8796 0.0000
Ag 0.6204 0.1204 0.0000
Tl 0.8185 0.3185 0.5000
Tl 0.6815 0.8185 0.5000
CELL_PARAMETERS angstrom
8.0864 0.0000 0.0000
0.0000 8.0864 0.0000
0.0000 0.0000 4.0308
```

theoretical density	9.62	g/cm3
E	-3.14	eV per atom
polymorph energy (0 for the lowest one)	80.5	meV per atom

***

Record 13
Computed, not measured: crystalline LiAc4Al3 at its relaxed geometry at the PBE level of DFT. Values from VASP.

```
&SYSTEM
  ibrav = 0, nat = 8, ntyp = 3
/
ATOMIC_SPECIES
Al 26.98 Al.upf
Ac 227.00 Ac.upf
Li 6.94 Li.upf
ATOMIC_POSITIONS crystal
Al 0.2528 0.7527 0.5056
Ac 0.1289 0.1290 0.2578
Al 0.0000 0.5000 0.0000
Ac 0.3711 0.3710 0.7422
Ac 0.6289 0.6290 0.2578
Al 0.7472 0.2473 0.4944
Li 0.5000 0.0000 0.0000
Ac 0.8711 0.8710 0.7422
CELL_PARAMETERS angstrom
-3.3485 0.5849 4.4330
-2.1568 -5.0623 -0.9612
8.3974 -1.0634 2.9636
```

theoretical density	6.58	g/cm3
E	-3.87	eV per atom

***

Number 1: volume 109.82 Å³ per cell, D(E_F) 1.6930 states/eV/atom. Number 2: volume 95.76 Å³ per cell, D(E_F) 0.9678 states/eV/atom. Number 3: volume 140.75 Å³ per cell, D(E_F) 0.3526 states/eV/atom. Number 4: volume 167.09 Å³ per cell, D(E_F) 0.5768 states/eV/atom. Number 5: volume 238.82 Å³ per cell, D(E_F) 5.6334 states/eV/atom. Number 6: volume 257.04 Å³ per cell, D(E_F) 1.0184 states/eV/atom. Number 7: volume 89.64 Å³ per cell, D(E_F) 0.4206 states/eV/atom. Number 8: volume 360.46 Å³ per cell, D(E_F) 0.6733 states/eV/atom. Number 9: volume 77.94 Å³ per cell, D(E_F) 1.1365 states/eV/atom. Number 10: volume 232.97 Å³ per cell, D(E_F) 0.5821 states/eV/atom. Number 11: volume 225.68 Å³ per cell, D(E_F) 0.7773 states/eV/atom. Number 12: volume 263.57 Å³ per cell, D(E_F) 0.8090 states/eV/atom. Number 13: volume 251.29 Å³ per cell, D(E_F) 0.8054 states/eV/atom.